Sr2MgPt after structural relaxation, computed with PBE.

Properties
Theoretical density (g/cm3): 4.52
V (Å³ per cell): 289.65
Formation energy (kJ/mol of atoms): -33.2
Total DFT energy (no corrections) (eV per atom): -3.094

```
data_Sr2MgPt
_symmetry_space_group_name_H-M 'C 1 2/m 1'
_symmetry_Int_Tables_number 12
_cell_length_a 7.427
_cell_length_b 4.247
_cell_length_c 9.482
_cell_angle_alpha 90.00
_cell_angle_beta 104.44
_cell_angle_gamma 90.00
loop_
_symmetry_equiv_pos_as_xyz
'x,y,z'
'-x,-y,-z'
'-x,y,-z'
'x,-y,z'
'x+1/2,y+1/2,z'
'-x+1/2,-y+1/2,-z'
'-x+1/2,y+1/2,-z'
'x+1/2,-y+1/2,z'
loop_
_atom_site_label
_atom_site_fract_x
_atom_site_fract_y
_atom_site_fract_z
Sr1 0.228 0.000 0.187
Mg1 0.000 0.000 0.500
Pt1 0.000 0.500 0.000
```

SrMgPt2 after structural relaxation, computed with PBE.

Properties
Theoretical density (g/cm3): 10.30
V (Å³ per cell): 80.91
Formation energy (kJ/mol of atoms): -66.4
Total DFT energy (no corrections) (eV per atom): -4.528

```
data_SrMgPt2
_symmetry_space_group_name_H-M 'P 4/m m m'
_symmetry_Int_Tables_number 123
_symmetry_space_group_name_Hall '-P 4 2'
_cell_length_a 3.372
_cell_length_b 3.372
_cell_length_c 7.116
_cell_angle_alpha 90.00
_cell_angle_beta 90.00
_cell_angle_gamma 90.00
loop_
_atom_site_label
_atom_site_fract_x
_atom_site_fract_y
_atom_site_fract_z
Sr1 0.000 0.000 0.000
Mg1 0.000 0.000 0.500
Pt1 0.500 0.500 0.297
```